1.
The following is a DFT calculation (PBE) of an optimized crystal structure of ScCd3.

Structure (POSCAR):
```
ScCd3
1.0
5.061 2.922 1.003
-5.061 2.922 1.003
0.000 -5.844 1.003
Sc Cd
1 3
direct
0.000 0.000 0.000 Sc
0.000 0.500 0.500 Cd
0.500 0.000 0.500 Cd
0.500 0.500 0.000 Cd
```

## Properties
The calculation puts the formation energy at -34 kJ/mol of formula units. As for the density of states at the Fermi level: 0.70 states/eV per atom. The uncorrected energy comes out at -9.4 eV per cell. The space-group type is No. 166. The magnetization is 0.4 μB per cell.

2.
The following is a DFT calculation (PBE) of an optimized crystal structure of MgSb4O8.

Structure (POSCAR):
```
MgSb4O8
1.0
6.636 -1.602 0.000
6.636 1.602 0.000
-1.787 0.000 9.532
Mg Sb O
1 4 8
direct
0.000 0.000 0.000 Mg
0.013 0.013 0.661 Sb
0.312 0.312 0.777 Sb
0.527 0.527 0.321 Sb
0.728 0.728 0.092 Sb
0.120 0.120 0.388 O
0.162 0.162 0.975 O
0.470 0.470 0.840 O
0.484 0.484 0.517 O
0.558 0.558 0.126 O
0.836 0.836 0.949 O
0.859 0.859 0.650 O
0.930 0.930 0.262 O
```

## Properties
As for the density of states at the Fermi level: 0.00 states/eV per atom. The value obtained for the formation energy from raw total energies is -1.478 eV per atom. The uncorrected energy comes out at -77.0 eV per cell. The energy relative to the lowest polymorph listed for this composition is 0 meV/atom. The space-group type is No. 8. The magnetization is 0.0 μB per cell.

3.
The following is a DFT calculation (PBE) of an optimized crystal structure of Ac2AuSe.

Structure (POSCAR):
```
Ac2AuSe
1.0
3.856 0.000 0.000
0.000 3.856 0.000
0.000 0.000 7.903
Ac Au Se
2 1 1
direct
0.000 0.000 0.249 Ac
0.000 0.000 0.751 Ac
0.500 0.500 0.500 Au
0.500 0.500 0.000 Se
```

## Properties
As for the density of states at the Fermi level: 0.98 states/eV per atom. The value obtained for the formation energy from raw total energies is -1.119 eV per atom. The uncorrected energy comes out at -19.5 eV per cell. The energy relative to the lowest polymorph listed for this composition is 171 meV/atom. The space-group type is No. 123. The magnetization is 0.0 μB per cell.

4.
The following is a DFT calculation (PBE) of an optimized crystal structure of K2Al.

Structure (POSCAR):
```
K2Al
1.0
9.553 -2.355 0.000
9.553 2.355 0.000
-1.492 0.000 6.665
K Al
4 2
direct
0.081 0.081 0.302 K
0.338 0.338 0.145 K
0.662 0.662 0.855 K
0.919 0.919 0.698 K
0.262 0.262 0.576 Al
0.738 0.738 0.424 Al
```

## Properties
The calculation puts the formation energy at 40 kJ/mol of formula units. As for the density of states at the Fermi level: 0.69 states/eV per atom. The uncorrected energy comes out at -11.0 eV per cell. The energy relative to the lowest polymorph listed for this composition is 0 meV/atom. The space-group type is No. 12. The magnetization is 0.0 μB per cell.

5.
The following is a DFT calculation (PBE) of an optimized crystal structure of Gd3Ni5Se12.

Structure (POSCAR):
```
Gd3Ni5Se12
1.0
-7.630 7.630 7.630
7.630 -7.630 7.630
7.630 7.630 -7.630
Gd Ni Se
12 20 48
direct
0.125 0.250 0.375 Gd
0.125 0.375 0.750 Gd
0.250 0.375 0.125 Gd
0.250 0.875 0.625 Gd
0.375 0.125 0.250 Gd
0.375 0.750 0.125 Gd
0.625 0.250 0.875 Gd
0.625 0.875 0.750 Gd
0.750 0.125 0.375 Gd
0.750 0.625 0.875 Gd
0.875 0.625 0.250 Gd
0.875 0.750 0.625 Gd
0.000 0.000 0.000 Ni
0.000 0.000 0.500 Ni
0.000 0.500 0.000 Ni
0.000 0.500 0.500 Ni
0.125 0.750 0.875 Ni
0.125 0.875 0.250 Ni
0.250 0.125 0.875 Ni
0.250 0.625 0.375 Ni
0.375 0.250 0.625 Ni
0.375 0.625 0.750 Ni
0.500 0.000 0.000 Ni
0.500 0.000 0.500 Ni
0.500 0.500 0.000 Ni
0.500 0.500 0.500 Ni
0.625 0.375 0.250 Ni
0.625 0.750 0.375 Ni
0.750 0.375 0.625 Ni
0.750 0.875 0.125 Ni
0.875 0.125 0.750 Ni
0.875 0.250 0.125 Ni
0.026 0.202 0.117 Se
0.026 0.324 0.909 Se
0.085 0.702 0.676 Se
0.085 0.883 0.409 Se
0.091 0.617 0.415 Se
0.091 0.974 0.676 Se
0.117 0.026 0.202 Se
0.117 0.591 0.915 Se
0.176 0.202 0.585 Se
0.176 0.474 0.591 Se
0.202 0.117 0.026 Se
0.202 0.585 0.176 Se
0.298 0.324 0.915 Se
0.298 0.474 0.383 Se
0.324 0.909 0.026 Se
0.324 0.915 0.298 Se
0.383 0.298 0.474 Se
0.383 0.585 0.909 Se
0.409 0.085 0.883 Se
0.409 0.824 0.526 Se
0.415 0.091 0.617 Se
0.415 0.824 0.798 Se
0.474 0.383 0.298 Se
0.474 0.591 0.176 Se
0.526 0.409 0.824 Se
0.526 0.617 0.702 Se
0.585 0.176 0.202 Se
0.585 0.909 0.383 Se
0.591 0.176 0.474 Se
0.591 0.915 0.117 Se
0.617 0.415 0.091 Se
0.617 0.702 0.526 Se
0.676 0.085 0.702 Se
0.676 0.091 0.974 Se
0.702 0.526 0.617 Se
0.702 0.676 0.085 Se
0.798 0.415 0.824 Se
0.798 0.883 0.974 Se
0.824 0.526 0.409 Se
0.824 0.798 0.415 Se
0.883 0.409 0.085 Se
0.883 0.974 0.798 Se
0.909 0.026 0.324 Se
0.909 0.383 0.585 Se
0.915 0.117 0.591 Se
0.915 0.298 0.324 Se
0.974 0.676 0.091 Se
0.974 0.798 0.883 Se
```

## Properties
As for the density of states at the Fermi level: 0.92 states/eV per atom. The value obtained for the formation energy from raw total energies is -0.743 eV per atom. The uncorrected energy comes out at -511.3 eV per cell. The space-group type is No. 230. The magnetization is 78.9 μB per cell.